(1)
Density functional theory data (GGA-PBE) for crystalline Sm2EuCd at its relaxed geometry.

```
data_Sm2EuCd
_chemical_formula_sum 'Sm2 Eu1 Cd1'
_symmetry_space_group_name_H-M 'P 4/m m m'
_symmetry_Int_Tables_number 123
_symmetry_space_group_name_Hall '-P 4 2'
_cell_length_a 5.033
_cell_length_b 5.033
_cell_length_c 4.893
_cell_angle_alpha 90.00
_cell_angle_beta 90.00
_cell_angle_gamma 90.00
loop_
_atom_site_label
_atom_site_type_symbol
_atom_site_fract_x
_atom_site_fract_y
_atom_site_fract_z
_atom_site_occupancy
Sm1 Sm 0.000 0.500 0.000 1
Eu1 Eu 0.000 0.000 0.500 1
Cd1 Cd 0.500 0.500 0.500 1
```

Results
The value obtained for the energy relative to the elements is -56 meV/atom. The calculation puts the density of states at the Fermi level at 5.1 states/eV/f.u. For the uncorrected energy, the calculation gives -20.85 eV for the cell shown. The value obtained for the volume is 30.99 A^3/atom.

(2)
Density functional theory data (GGA-PBE) for crystalline Tm7NiS5 at its relaxed geometry.

```
data_Tm7NiS5
_chemical_formula_sum 'Tm28 Ni4 S20'
_symmetry_space_group_name_H-M 'C m c m'
_symmetry_Int_Tables_number 63
_symmetry_space_group_name_Hall '-C 2c 2'
_cell_length_a 3.774
_cell_length_b 12.650
_cell_length_c 23.073
_cell_angle_alpha 90.00
_cell_angle_beta 90.00
_cell_angle_gamma 90.00
loop_
_atom_site_label
_atom_site_type_symbol
_atom_site_fract_x
_atom_site_fract_y
_atom_site_fract_z
_atom_site_occupancy
Tm1 Tm 0.000 0.042 0.250 1
Tm2 Tm 0.000 0.138 0.537 1
Tm3 Tm 0.000 0.304 0.179 1
Tm4 Tm 0.000 0.411 0.613 1
Ni1 Ni 0.000 0.303 0.750 1
S1 S 0.000 0.052 0.642 1
S2 S 0.000 0.224 0.071 1
S3 S 0.000 0.500 0.000 1
```

Results
The calculation puts the density of states at the Fermi level at 6.4 states/eV/f.u. For the uncorrected energy, the calculation gives -312.92 eV for the cell shown. The value obtained for the volume is 21.18 A^3/atom.

(3)
Density functional theory data (GGA-PBE) for crystalline Ac5Sn2Os at its relaxed geometry.

```
data_Ac5Sn2Os
_chemical_formula_sum 'Ac10 Sn4 Os2'
_symmetry_space_group_name_H-M 'P b a m'
_symmetry_Int_Tables_number 55
_cell_length_a 8.920
_cell_length_b 13.238
_cell_length_c 4.893
_cell_angle_alpha 90.00
_cell_angle_beta 90.00
_cell_angle_gamma 90.00
loop_
_symmetry_equiv_pos_as_xyz
'x,y,z'
'-x,-y,-z'
'-x,-y,z'
'x,y,-z'
'x+1/2,-y+1/2,-z'
'-x+1/2,y+1/2,z'
'-x+1/2,y+1/2,-z'
'x+1/2,-y+1/2,z'
loop_
_atom_site_label
_atom_site_type_symbol
_atom_site_fract_x
_atom_site_fract_y
_atom_site_fract_z
_atom_site_occupancy
Ac1 Ac 0.000 0.000 0.000 1
Ac2 Ac 0.135 0.300 0.000 1
Ac3 Ac 0.183 0.568 0.500 1
Sn1 Sn 0.079 0.829 0.500 1
Os1 Os 0.000 0.500 0.000 1
```

Results
The value obtained for the energy relative to the elements is -455 meV/atom. The calculation puts the density of states at the Fermi level at 7.0 states/eV/f.u. For the uncorrected energy, the calculation gives -86.84 eV for the cell shown. The value obtained for the volume is 36.11 A^3/atom.

(4)
Density functional theory data (GGA-PBE) for crystalline Ag2PtAu at its relaxed geometry.

```
data_Ag2PtAu
_chemical_formula_sum 'Ag8 Pt4 Au4'
_symmetry_space_group_name_H-M 'F m -3 m'
_symmetry_Int_Tables_number 225
_symmetry_space_group_name_Hall '-F 4 2 3'
_cell_length_a 6.520
_cell_length_b 6.520
_cell_length_c 6.520
_cell_angle_alpha 90.00
_cell_angle_beta 90.00
_cell_angle_gamma 90.00
loop_
_atom_site_label
_atom_site_type_symbol
_atom_site_fract_x
_atom_site_fract_y
_atom_site_fract_z
_atom_site_occupancy
Ag1 Ag 0.250 0.250 0.250 1
Pt1 Pt 0.000 0.000 0.000 1
Au1 Au 0.000 0.000 0.500 1
```

Results
The value obtained for the energy relative to the elements is 72 meV/atom. The calculation puts the density of states at the Fermi level at 1.3 states/eV/f.u. For the uncorrected energy, the calculation gives -58.93 eV for the cell shown. The value obtained for the volume is 17.32 A^3/atom.

(5)
Density functional theory data (GGA-PBE) for crystalline HgS2N at its relaxed geometry.

```
data_HgS2N
_chemical_formula_sum 'Hg4 S8 N4'
_symmetry_space_group_name_H-M 'I -4 2 d'
_symmetry_Int_Tables_number 122
_symmetry_space_group_name_Hall 'I -4 2bw'
_cell_length_a 5.260
_cell_length_b 5.260
_cell_length_c 11.079
_cell_angle_alpha 90.00
_cell_angle_beta 90.00
_cell_angle_gamma 90.00
loop_
_atom_site_label
_atom_site_type_symbol
_atom_site_fract_x
_atom_site_fract_y
_atom_site_fract_z
_atom_site_occupancy
Hg1 Hg 0.000 0.000 0.000 1
S1 S 0.132 0.250 0.625 1
N1 N 0.000 0.000 0.500 1
```

Results
The calculation puts the density of states at the Fermi level at 1.5 states/eV/f.u. For the uncorrected energy, the calculation gives -52.71 eV for the cell shown. The value obtained for the volume is 19.16 A^3/atom.

(6)
Density functional theory data (GGA-PBE) for crystalline Na2GaSn3Au4 at its relaxed geometry.

```
data_Na2GaSn3Au4
_chemical_formula_sum 'Na2 Ga1 Sn3 Au4'
_symmetry_space_group_name_H-M 'P -4 m 2'
_symmetry_Int_Tables_number 115
_cell_length_a 4.771
_cell_length_b 4.771
_cell_length_c 10.935
_cell_angle_alpha 90.00
_cell_angle_beta 90.00
_cell_angle_gamma 90.00
loop_
_symmetry_equiv_pos_as_xyz
'x,y,z'
'y,-x,-z'
'-x,-y,z'
'-y,x,-z'
'-x,y,z'
'-y,-x,-z'
'x,-y,z'
'y,x,-z'
loop_
_atom_site_label
_atom_site_type_symbol
_atom_site_fract_x
_atom_site_fract_y
_atom_site_fract_z
_atom_site_occupancy
Na1 Na 0.000 0.500 0.237 1
Ga1 Ga 0.000 0.000 0.500 1
Sn1 Sn 0.000 0.500 0.870 1
Sn2 Sn 0.500 0.500 0.500 1
Au1 Au 0.000 0.000 0.000 1
Au2 Au 0.000 0.500 0.623 1
Au3 Au 0.500 0.500 0.000 1
```

Results
The value obtained for the energy relative to the elements is -240 meV/atom. The calculation puts the density of states at the Fermi level at 4.4 states/eV/f.u. For the uncorrected energy, the calculation gives -33.18 eV for the cell shown. The value obtained for the volume is 24.90 A^3/atom.

(7)
Density functional theory data (GGA-PBE) for crystalline CaFeAg2 at its relaxed geometry.

```
data_CaFeAg2
_chemical_formula_sum 'Ca2 Fe2 Ag4'
_symmetry_space_group_name_H-M 'I m m 2'
_symmetry_Int_Tables_number 44
_cell_length_a 4.170
_cell_length_b 4.179
_cell_length_c 8.901
_cell_angle_alpha 90.00
_cell_angle_beta 90.00
_cell_angle_gamma 90.00
loop_
_symmetry_equiv_pos_as_xyz
'x,y,z'
'-x,-y,z'
'-x,y,z'
'x,-y,z'
'x+1/2,y+1/2,z+1/2'
'-x+1/2,-y+1/2,z+1/2'
'-x+1/2,y+1/2,z+1/2'
'x+1/2,-y+1/2,z+1/2'
loop_
_atom_site_label
_atom_site_type_symbol
_atom_site_fract_x
_atom_site_fract_y
_atom_site_fract_z
_atom_site_occupancy
Ca1 Ca 0.000 0.000 0.000 1
Fe1 Fe 0.000 0.500 0.250 1
Ag1 Ag 0.000 0.000 0.501 1
Ag2 Ag 0.000 0.500 0.750 1
```

Results
The value obtained for the energy relative to the elements is 261 meV/atom. The calculation puts the density of states at the Fermi level at 4.5 states/eV/f.u. For the uncorrected energy, the calculation gives -30.25 eV for the cell shown. The value obtained for the volume is 19.39 A^3/atom.

(8)
Density functional theory data (GGA-PBE) for crystalline Y2TmPu at its relaxed geometry.

```
data_Y2TmPu
_chemical_formula_sum 'Y6 Tm3 Pu3'
_symmetry_space_group_name_H-M 'R -3 m'
_symmetry_Int_Tables_number 166
_symmetry_space_group_name_Hall '-R 3 2"'
_cell_length_a 3.5140
_cell_length_b 3.5140
_cell_length_c 34.4166
_cell_angle_alpha 90.00
_cell_angle_beta 90.00
_cell_angle_gamma 120.00
loop_
_atom_site_label
_atom_site_type_symbol
_atom_site_fract_x
_atom_site_fract_y
_atom_site_fract_z
_atom_site_occupancy
Y1 Y 0.0000 0.0000 0.2504 1
Tm1 Tm 0.0000 0.0000 0.5000 1
Pu1 Pu 0.0000 0.0000 0.0000 1
```

Results
The value obtained for the energy relative to the elements is 115 meV/atom. The calculation puts the density of states at the Fermi level at 11.8 states/eV/f.u. For the uncorrected energy, the calculation gives -93.81 eV for the cell shown. The value obtained for the volume is 30.67 A^3/atom.

(9)
Density functional theory data (GGA-PBE) for crystalline YGaI2N at its relaxed geometry.

```
data_YGaI2N
_chemical_formula_sum 'Y1 Ga1 I2 N1'
_symmetry_space_group_name_H-M 'P 4/m m m'
_symmetry_Int_Tables_number 123
_symmetry_space_group_name_Hall '-P 4 2'
_cell_length_a 5.965
_cell_length_b 5.965
_cell_length_c 3.589
_cell_angle_alpha 90.00
_cell_angle_beta 90.00
_cell_angle_gamma 90.00
loop_
_atom_site_label
_atom_site_type_symbol
_atom_site_fract_x
_atom_site_fract_y
_atom_site_fract_z
_atom_site_occupancy
Y1 Y 0.000 0.000 0.000 1
Ga1 Ga 0.500 0.500 0.500 1
I1 I 0.000 0.500 0.500 1
N1 N 0.500 0.500 0.000 1
```

Results
The calculation puts the density of states at the Fermi level at 1.3 states/eV/f.u. For the uncorrected energy, the calculation gives -20.83 eV for the cell shown. The value obtained for the volume is 25.54 A^3/atom.

(10)
Density functional theory data (GGA-PBE) for crystalline Tb3Al3Zn2 at its relaxed geometry.

```
data_Tb3Al3Zn2
_chemical_formula_sum 'Tb12 Al12 Zn8'
_symmetry_space_group_name_H-M 'C m c m'
_symmetry_Int_Tables_number 63
_symmetry_space_group_name_Hall '-C 2c 2'
_cell_length_a 4.468
_cell_length_b 10.610
_cell_length_c 14.779
_cell_angle_alpha 90.00
_cell_angle_beta 90.00
_cell_angle_gamma 90.00
loop_
_atom_site_label
_atom_site_type_symbol
_atom_site_fract_x
_atom_site_fract_y
_atom_site_fract_z
_atom_site_occupancy
Tb1 Tb 0.000 0.091 0.110 1
Tb2 Tb 0.000 0.364 0.250 1
Al1 Al 0.000 0.341 0.750 1
Al2 Al 0.000 0.385 0.039 1
Zn1 Zn 0.000 0.205 0.600 1
```

Results
The value obtained for the energy relative to the elements is -432 meV/atom. The calculation puts the density of states at the Fermi level at 5.1 states/eV/f.u. For the uncorrected energy, the calculation gives -124.50 eV for the cell shown. The value obtained for the volume is 21.90 A^3/atom.

(11)
Density functional theory data (GGA-PBE) for crystalline ZnBSbI2 at its relaxed geometry.

```
data_ZnBSbI2
_chemical_formula_sum 'Zn1 B1 Sb1 I2'
_symmetry_space_group_name_H-M 'P 4/m m m'
_symmetry_Int_Tables_number 123
_symmetry_space_group_name_Hall '-P 4 2'
_cell_length_a 5.593
_cell_length_b 5.593
_cell_length_c 5.250
_cell_angle_alpha 90.00
_cell_angle_beta 90.00
_cell_angle_gamma 90.00
loop_
_atom_site_label
_atom_site_type_symbol
_atom_site_fract_x
_atom_site_fract_y
_atom_site_fract_z
_atom_site_occupancy
Zn1 Zn 0.000 0.000 0.000 1
B1 B 0.500 0.500 0.500 1
Sb1 Sb 0.000 0.000 0.500 1
I1 I 0.000 0.500 0.000 1
```

Results
The calculation puts the density of states at the Fermi level at 4.7 states/eV/f.u. For the uncorrected energy, the calculation gives -9.24 eV for the cell shown. The value obtained for the volume is 32.84 A^3/atom.

(12)
Density functional theory data (GGA-PBE) for crystalline Pm4AlRh at its relaxed geometry.

```
data_Pm4AlRh
_chemical_formula_sum 'Pm64 Al16 Rh16'
_symmetry_space_group_name_H-M 'F -4 3 m'
_symmetry_Int_Tables_number 216
_symmetry_space_group_name_Hall 'F -4 2 3'
_cell_length_a 13.826
_cell_length_b 13.826
_cell_length_c 13.826
_cell_angle_alpha 90.00
_cell_angle_beta 90.00
_cell_angle_gamma 90.00
loop_
_atom_site_label
_atom_site_type_symbol
_atom_site_fract_x
_atom_site_fract_y
_atom_site_fract_z
_atom_site_occupancy
Pm1 Pm 0.000 0.000 0.186 1
Pm2 Pm 0.055 0.250 0.750 1
Pm3 Pm 0.101 0.101 0.399 1
Al1 Al 0.175 0.175 0.175 1
Rh1 Rh 0.108 0.108 0.608 1
```

Results
The value obtained for the energy relative to the elements is -441 meV/atom. The calculation puts the density of states at the Fermi level at 4.8 states/eV/f.u. For the uncorrected energy, the calculation gives -523.85 eV for the cell shown. The value obtained for the volume is 27.53 A^3/atom.

- What is the formula in the third record?
  Ac5Sn2Os

- The lowest uncorrected energy belongs to which entry?
  Pm4AlRh

- Which of these has the lowest uncorrected energy?
  Pm4AlRh

- uncorrected energy of number 4 (Ag2PtAu)?
  -58.93 eV for the cell shown